(1)
A geometry-optimized LaZn structure, computed with PBE.

For the formation energy, the calculation gives -210 meV per atom.

abc: 4.724 10.466 6.443
angles: 90.00 90.00 90.00
Space group Imm2 (No. 44)
One atom of each set of equivalent atoms:
La  0.000  0.000  0.000 (multiplicity 2)
La  0.000  0.319  0.783 (multiplicity 4)
Zn  0.000  0.000  0.522 (multiplicity 2)
Zn  0.000  0.376  0.254 (multiplicity 4)

(2)
A geometry-optimized LaZn2 structure, computed with PBE.

For the formation energy, the calculation gives 254 meV per atom.

abc: 7.066 7.066 7.066
angles: 90.00 90.00 90.00
Space group Pa-3 (No. 205)
One atom of each set of equivalent atoms:
La  0.000  0.000  0.000 (multiplicity 4)
Zn  0.099  0.599  0.901 (multiplicity 8)

(3)
A geometry-optimized LaZn structure, computed with PBE.

For the formation energy, the calculation gives -231 meV per atom.

abc: 10.991 8.924 6.648
angles: 90.00 90.00 90.00
Space group Pbcm (No. 57)
One atom of each set of equivalent atoms:
La  0.108  0.250  0.000 (multiplicity 4)
La  0.197  0.641  0.250 (multiplicity 4)
La  0.373  0.044  0.250 (multiplicity 4)
Zn  0.077  0.545  0.750 (multiplicity 4)
Zn  0.381  0.116  0.750 (multiplicity 4)
Zn  0.443  0.750  0.000 (multiplicity 4)

(4)
A geometry-optimized La2Zn structure, computed with PBE.

For the formation energy, the calculation gives -126 meV per atom.

abc: 15.644 3.826 6.960
angles: 90.00 116.30 90.00
Space group C2/m (No. 12)
One atom of each set of equivalent atoms:
La  0.000  0.000  0.243 (multiplicity 4)
La  0.200  0.500  0.200 (multiplicity 4)
Zn  0.125  0.500  0.624 (multiplicity 4)

no.,volume (Å³ per cell),E (eV/atom),Fermi-level density of states (states/eV/f.u.)
1,319,-3.31,1.9
2,353,-2.24,3.2
3,652,-3.33,1.9
4,373,-3.84,4.1